(1)
## Mg12Cd5In2 (PBE)

Data for an optimized crystal structure of Mg12Cd5In2.

The space group is C2/m (No. 12) and the conventional cell measures 17.318, 10.121 and 5.176 Å, with angles of 90.00, 106.48 and 90.00 degrees. The asymmetric unit holds Mg at (0.095, 0.000, 0.168), Mg at (0.096, 0.237, 0.602), Mg at (0.100, 0.500, 0.069), Mg at (0.203, 0.246, 0.204), Cd at (0.000, 0.500, 0.500), Cd at (0.195, 0.500, 0.641), Cd at (0.202, 0.000, 0.769) and In at (0.000, 0.248, 0.000).

Its crystal system is monoclinic. The relative energy among the computed polymorphs comes out at 0.000 eV/atom.

(2)
## MgCdIn2 (PBE)

Data for an optimized crystal structure of MgCdIn2.

The space group is R-3m (No. 166, hexagonal axes) and the conventional cell measures 3.3786, 3.3786 and 29.4716 Å, with angles of 90.00, 90.00 and 120.00 degrees. The asymmetric unit holds Mg at (0.0000, 0.0000, 0.0000), Cd at (0.0000, 0.0000, 0.5000) and In at (0.0000, 0.0000, 0.2510).

Its crystal system is trigonal.

(3)
## MgCd4In2 (PBE)

Data for an optimized crystal structure of MgCd4In2.

The space group is R-3m (No. 166, hexagonal axes) and the conventional cell measures 3.1519, 3.1519 and 59.5215 Å, with angles of 90.00, 90.00 and 120.00 degrees. The asymmetric unit holds Mg at (0.0000, 0.0000, 0.0000), Cd at (0.0000, 0.0000, 0.1439), Cd at (0.0000, 0.0000, 0.2901) and In at (0.0000, 0.0000, 0.2380).

Its crystal system is trigonal. The relative energy among the computed polymorphs comes out at 0.000 eV/atom.

| no. | formation enthalpy at 0 K (meV/atom) |
| --- | --- |
| 1 | -43 |
| 2 | -43 |
| 3 | 32 |